Li2VF4: single point on PBEsol structure, meta-GGA SCAN.

CIF file:
```
data_Li2VF4
_chemical_formula_sum 'Li4 V2 F8'
_space_group_name_H-M_alt 'C m m m'
_space_group_IT_number 65
_space_group_name_Hall '-C 2 2'
_cell_length_a 5.742
_cell_length_b 8.488
_cell_length_c 3.050
_cell_angle_alpha 90.00
_cell_angle_beta 90.00
_cell_angle_gamma 90.00
loop_
_atom_site_label
_atom_site_fract_x
_atom_site_fract_y
_atom_site_fract_z
Li1 0.250 0.250 0.000
V1 0.000 0.000 0.500
F1 0.000 0.240 0.500
F2 0.236 0.000 0.000
```

E above lowest polymorph (meV/atom): 72